A) Entry from Alexandria via LeMat-Bulk: Y4MgCu after structural relaxation (PBE).

Lattice parameters (Å, degrees): 9.7780 9.7780 9.7780 60.00 60.00 60.00
Sites, in units of the cell vectors:
Y  0.1841  0.1841  0.8159
Y  0.1841  0.8159  0.1841
Y  0.1841  0.8159  0.8159
Y  0.4001  0.4001  0.4001
Y  0.4001  0.4001  0.7997
Y  0.4001  0.7997  0.4001
Y  0.5619  0.5619  0.9381
Y  0.5619  0.9381  0.5619
Y  0.5619  0.9381  0.9381
Y  0.7997  0.4001  0.4001
Y  0.8159  0.1841  0.1841
Y  0.8159  0.1841  0.8159
Y  0.8159  0.8159  0.1841
Y  0.9381  0.5619  0.5619
Y  0.9381  0.5619  0.9381
Y  0.9381  0.9381  0.5619
Mg  0.1703  0.1703  0.1703
Mg  0.1703  0.1703  0.4891
Mg  0.1703  0.4891  0.1703
Mg  0.4891  0.1703  0.1703
Cu  0.1798  0.6067  0.6067
Cu  0.6067  0.1798  0.6067
Cu  0.6067  0.6067  0.1798
Cu  0.6067  0.6067  0.6067

Results
density of states at the Fermi level: 8.918 states/eV/f.u.
crystal system: cubic
SG: No. 216

=====

B) Entry from Alexandria via LeMat-Bulk: Y4MgCu after structural relaxation (PBE).

Lattice parameters (Å, degrees): 9.9748 3.6167 9.1097 90.00 90.00 90.00
Sites, in units of the cell vectors:
Y  0.0000  0.0000  0.0000
Y  0.0594  0.5000  0.3223
Y  0.2500  0.5000  0.8702
Y  0.4406  0.5000  0.3223
Y  0.5000  0.0000  0.0000
Y  0.5594  0.5000  0.6777
Y  0.7500  0.5000  0.1298
Y  0.9406  0.5000  0.6777
Mg  0.2500  0.0000  0.5621
Mg  0.7500  0.0000  0.4379
Cu  0.2500  0.0000  0.1702
Cu  0.7500  0.0000  0.8298

Results
density of states at the Fermi level: 6.777 states/eV/f.u.
crystal system: orthorhombic
SG: No. 51

=====

Which is the most stable structure? A) is the most stable.

=====

A) Entry from Alexandria via LeMat-Bulk: Y2MgCu3 after structural relaxation (PBE).

Lattice parameters (Å, degrees): 4.7986 4.7986 11.7027 90.00 90.00 120.00
Sites, in units of the cell vectors:
Y  0.0000  0.0000  0.0000
Y  0.0000  0.0000  0.5000
Y  0.3333  0.6667  0.1803
Y  0.6667  0.3333  0.8197
Mg  0.3333  0.6667  0.6635
Mg  0.6667  0.3333  0.3365
Cu  0.0000  0.0000  0.2535
Cu  0.0000  0.0000  0.7465
Cu  0.3333  0.6667  0.4251
Cu  0.3333  0.6667  0.9171
Cu  0.6667  0.3333  0.0829
Cu  0.6667  0.3333  0.5749

Results
density of states at the Fermi level: 3.449 states/eV/f.u.
crystal system: trigonal
SG: No. 164

=====

B) Entry from Alexandria via LeMat-Bulk: Y2MgCu3 after structural relaxation (PBE).

Lattice parameters (Å, degrees): 4.7608 4.7608 12.1330 90.00 90.00 120.00
Sites, in units of the cell vectors:
Y  0.3333  0.6667  0.0921
Y  0.3333  0.6667  0.4079
Y  0.6667  0.3333  0.5921
Y  0.6667  0.3333  0.9079
Mg  0.0000  0.0000  0.2500
Mg  0.0000  0.0000  0.7500
Cu  0.0000  0.0000  0.0000
Cu  0.0000  0.0000  0.5000
Cu  0.3333  0.6667  0.6516
Cu  0.3333  0.6667  0.8484
Cu  0.6667  0.3333  0.1516
Cu  0.6667  0.3333  0.3484

Results
density of states at the Fermi level: 3.492 states/eV/f.u.
crystal system: hexagonal
SG: No. 194

=====

C) Entry from Alexandria via LeMat-Bulk: Y2MgCu3 after structural relaxation (PBE).

Lattice parameters (Å, degrees): 5.3502 5.3502 5.3502 62.55 62.55 62.55
Sites, in units of the cell vectors:
Y  0.1274  0.1274  0.1274
Y  0.8726  0.8726  0.8726
Mg  0.5000  0.5000  0.5000
Cu  0.0000  0.5000  0.5000
Cu  0.5000  0.0000  0.5000
Cu  0.5000  0.5000  0.0000

Results
density of states at the Fermi level: 6.100 states/eV/f.u.
crystal system: trigonal
SG: No. 166

=====

Which is the most stable structure? A) is the most stable.

=====

A) Entry from Alexandria via LeMat-Bulk: Y2MgCu3 after structural relaxation (PBE).

Lattice parameters (Å, degrees): 6.3951 6.3951 6.8630 90.00 90.00 69.33
Sites, in units of the cell vectors:
Y  0.2191  0.2191  0.0000
Y  0.2191  0.2191  0.5000
Y  0.7809  0.7809  0.0000
Y  0.7809  0.7809  0.5000
Mg  0.3503  0.6497  0.7500
Mg  0.6497  0.3503  0.2500
Cu  0.0105  0.9895  0.2500
Cu  0.1877  0.5834  0.2500
Cu  0.4166  0.8123  0.2500
Cu  0.5834  0.1877  0.7500
Cu  0.8123  0.4166  0.7500
Cu  0.9895  0.0105  0.7500

Results
density of states at the Fermi level: 3.494 states/eV/f.u.
crystal system: orthorhombic
SG: No. 63

=====

B) Entry from Alexandria via LeMat-Bulk: Y2MgCu3 after structural relaxation (PBE).

Lattice parameters (Å, degrees): 5.5926 5.5926 8.4702 90.00 90.00 120.00
Sites, in units of the cell vectors:
Y  0.3333  0.6667  0.0558
Y  0.3333  0.6667  0.4442
Y  0.6667  0.3333  0.5558
Y  0.6667  0.3333  0.9442
Mg  0.0000  0.0000  0.0000
Mg  0.0000  0.0000  0.5000
Cu  0.1753  0.3506  0.7500
Cu  0.1753  0.8247  0.7500
Cu  0.3506  0.1753  0.2500
Cu  0.6494  0.8247  0.7500
Cu  0.8247  0.1753  0.2500
Cu  0.8247  0.6494  0.2500

Results
density of states at the Fermi level: 4.496 states/eV/f.u.
crystal system: hexagonal
SG: No. 194

=====

Which is the most stable structure? B) is the most stable.

=====

A) Entry from Alexandria via LeMat-Bulk: YMg2Cu9 after structural relaxation (PBE).

Lattice parameters (Å, degrees): 8.4884 8.4884 8.4884 34.74 34.74 34.74
Sites, in units of the cell vectors:
Y  0.0000  0.0000  0.0000
Mg  0.1447  0.1447  0.1447
Mg  0.8553  0.8553  0.8553
Cu  0.0813  0.5864  0.5864
Cu  0.3334  0.3334  0.3334
Cu  0.4136  0.4136  0.9187
Cu  0.4136  0.9187  0.4136
Cu  0.5000  0.5000  0.5000
Cu  0.5864  0.0813  0.5864
Cu  0.5864  0.5864  0.0813
Cu  0.6666  0.6666  0.6666
Cu  0.9187  0.4136  0.4136

Results
density of states at the Fermi level: 5.777 states/eV/f.u.
crystal system: trigonal
SG: No. 166

=====

B) Entry from Alexandria via LeMat-Bulk: YMg2Cu9 after structural relaxation (PBE).

Lattice parameters (Å, degrees): 5.0620 5.0620 15.9603 90.00 90.00 120.00
Sites, in units of the cell vectors:
Y  0.3333  0.6667  0.2500
Y  0.6667  0.3333  0.7500
Mg  0.3333  0.6667  0.0329
Mg  0.3333  0.6667  0.4671
Mg  0.6667  0.3333  0.5329
Mg  0.6667  0.3333  0.9671
Cu  0.0000  0.0000  0.0000
Cu  0.0000  0.0000  0.2500
Cu  0.0000  0.0000  0.5000
Cu  0.0000  0.0000  0.7500
Cu  0.1685  0.3370  0.6228
Cu  0.1685  0.3370  0.8772
Cu  0.1685  0.8315  0.6228
Cu  0.1685  0.8315  0.8772
Cu  0.3333  0.6667  0.7500
Cu  0.3370  0.1685  0.1228
Cu  0.3370  0.1685  0.3772
Cu  0.6630  0.8315  0.6228
Cu  0.6630  0.8315  0.8772
Cu  0.6667  0.3333  0.2500
Cu  0.8315  0.1685  0.1228
Cu  0.8315  0.1685  0.3772
Cu  0.8315  0.6630  0.1228
Cu  0.8315  0.6630  0.3772

Results
density of states at the Fermi level: 7.679 states/eV/f.u.
crystal system: hexagonal
SG: No. 194

=====

Which is the most stable structure? B) is the most stable.

=====

A) Entry from Alexandria via LeMat-Bulk: Y4Mg8Cu after structural relaxation (PBE).

Lattice parameters (Å, degrees): 8.1701 8.1701 8.1701 99.66 99.66 131.63
Sites, in units of the cell vectors:
Y  0.0000  0.0000  0.5000
Y  0.0000  0.5000  0.0000
Y  0.5000  0.0000  0.0000
Y  0.5000  0.5000  0.5000
Mg  0.0000  0.2102  0.2102
Mg  0.0000  0.7898  0.7898
Mg  0.1479  0.5000  0.6479
Mg  0.2102  0.0000  0.2102
Mg  0.5000  0.1479  0.6479
Mg  0.5000  0.8521  0.3521
Mg  0.7898  0.0000  0.7898
Mg  0.8521  0.5000  0.3521
Cu  0.5000  0.5000  0.0000

Results
density of states at the Fermi level: 10.253 states/eV/f.u.
crystal system: tetragonal
SG: No. 139

=====

B) Entry from Alexandria via LeMat-Bulk: Y4Mg8Cu after structural relaxation (PBE).

Lattice parameters (Å, degrees): 10.1465 10.1465 10.1465 91.51 91.51 161.32
Sites, in units of the cell vectors:
Y  0.0508  0.1688  0.2196
Y  0.1688  0.9492  0.1181
Y  0.8312  0.0508  0.8819
Y  0.9492  0.8312  0.7804
Mg  0.1297  0.5006  0.6302
Mg  0.1658  0.7120  0.8778
Mg  0.2880  0.1658  0.4538
Mg  0.4994  0.1297  0.6291
Mg  0.5006  0.8703  0.3709
Mg  0.7120  0.8342  0.5462
Mg  0.8342  0.2880  0.1222
Mg  0.8703  0.4994  0.3698
Cu  0.5000  0.5000  0.0000

Results
density of states at the Fermi level: 9.158 states/eV/f.u.
crystal system: tetragonal
SG: No. 87

=====

Which is the most stable structure? B) is the most stable.

=====

A) Entry from Alexandria via LeMat-Bulk: MgZnCu5 after structural relaxation (PBE).

Lattice parameters (Å, degrees): 3.6748 3.6748 7.3068 90.00 90.00 90.00
Sites, in units of the cell vectors:
Mg  0.0000  0.0000  0.0000
Zn  0.5000  0.5000  0.5000
Cu  0.0000  0.5000  0.2653
Cu  0.0000  0.5000  0.7347
Cu  0.5000  0.0000  0.2653
Cu  0.5000  0.0000  0.7347
Cu  0.5000  0.5000  0.0000

Results
density of states at the Fermi level: 3.993 states/eV/f.u.
crystal system: tetragonal
SG: No. 123

=====

B) Entry from Alexandria via LeMat-Bulk: MgZnCu5 after structural relaxation (PBE).

Lattice parameters (Å, degrees): 4.6343 4.6343 5.1314 90.00 90.00 114.63
Sites, in units of the cell vectors:
Mg  0.0000  0.0000  0.0000
Zn  0.5000  0.5000  0.5000
Cu  0.0000  0.0000  0.5000
Cu  0.0000  0.5000  0.2541
Cu  0.0000  0.5000  0.7459
Cu  0.5000  0.0000  0.2541
Cu  0.5000  0.0000  0.7459

Results
density of states at the Fermi level: 2.818 states/eV/f.u.
crystal system: orthorhombic
SG: No. 65

=====

Which is the most stable structure? B) is the most stable.